# 1
Density functional theory data (GGA-PBE) for AcRu2PbO8 after structural relaxation.

E_form (uncorrected)   -1.30 eV/atom
Crystal system   trigonal

a = 6.076 Å, b = 6.076 Å, c = 7.472 Å
α = 90.00°, β = 90.00°, γ = 120.00°
Element x y z (fractional)
1 Ac 0.000 0.000 0.000
2 Ru 0.333 0.667 0.311
3 Ru 0.667 0.333 0.689
4 Pb 0.000 0.000 0.500
5 O 0.168 0.336 0.233
6 O 0.168 0.832 0.233
7 O 0.333 0.667 0.547
8 O 0.336 0.168 0.767
9 O 0.664 0.832 0.233
10 O 0.667 0.333 0.453
11 O 0.832 0.168 0.767
12 O 0.832 0.664 0.767

***

# 2
Density functional theory data (GGA-PBE) for Ac3RuPbO after structural relaxation.

E_form (uncorrected)   -1.09 eV/atom
Crystal system   monoclinic

a = 9.629 Å, b = 4.286 Å, c = 10.000 Å
α = 90.00°, β = 105.56°, γ = 90.00°
Element x y z (fractional)
1 Ac 0.052 0.250 0.347
2 Ac 0.323 0.250 0.963
3 Ac 0.373 0.750 0.648
4 Ac 0.627 0.250 0.352
5 Ac 0.677 0.750 0.037
6 Ac 0.948 0.750 0.653
7 Ru 0.166 0.250 0.651
8 Ru 0.834 0.750 0.349
9 Pb 0.308 0.750 0.266
10 Pb 0.692 0.250 0.734
11 O 0.422 0.750 0.907
12 O 0.578 0.250 0.093

***

# 3
Density functional theory data (GGA-PBE) for AcRuPb2O6 after structural relaxation.

E_form (uncorrected)   -1.57 eV/atom
Crystal system   monoclinic

a = 5.676 Å, b = 6.537 Å, c = 10.344 Å
α = 90.00°, β = 123.12°, γ = 90.00°
Element x y z (fractional)
1 Ac 0.000 0.000 0.000
2 Ac 0.000 0.500 0.500
3 Ru 0.500 0.000 0.500
4 Ru 0.500 0.500 0.000
5 Pb 0.209 0.049 0.718
6 Pb 0.209 0.451 0.218
7 Pb 0.791 0.549 0.782
8 Pb 0.791 0.951 0.282
9 O 0.180 0.160 0.481
10 O 0.180 0.340 0.981
11 O 0.256 0.745 0.938
12 O 0.256 0.755 0.438
13 O 0.363 0.054 0.280
14 O 0.363 0.446 0.780
15 O 0.637 0.554 0.220
16 O 0.637 0.946 0.720
17 O 0.744 0.245 0.562
18 O 0.744 0.255 0.062
19 O 0.820 0.660 0.019
20 O 0.820 0.840 0.519

***

# 4
Density functional theory data (GGA-PBE) for AcPbS2O after structural relaxation.

E_form (uncorrected)   -1.65 eV/atom
Crystal system   tetragonal

a = 4.175 Å, b = 4.175 Å, c = 13.707 Å
α = 90.00°, β = 90.00°, γ = 90.00°
Element x y z (fractional)
1 Ac 0.250 0.250 0.097
2 Ac 0.750 0.750 0.903
3 Pb 0.250 0.250 0.612
4 Pb 0.750 0.750 0.388
5 S 0.250 0.250 0.393
6 S 0.250 0.250 0.800
7 S 0.750 0.750 0.200
8 S 0.750 0.750 0.607
9 O 0.250 0.750 0.000
10 O 0.750 0.250 0.000

***

| no. | energy (eV per atom) |
| --- | --- |
| 1 | -6.800 |
| 2 | -6.131 |
| 3 | -6.625 |
| 4 | -5.852 |